*i*
# AsIrF2, relaxed, DFT PBE
data_AsIrF2
_chemical_formula_sum 'As1 Ir1 F2'
_space_group_name_H-M_alt 'P 1'
_space_group_IT_number 1
_cell_length_a 8.274
_cell_length_b 8.274
_cell_length_c 8.274
_cell_angle_alpha 19.26
_cell_angle_beta 19.26
_cell_angle_gamma 19.26
loop_
_space_group_symop_operation_xyz
'x,y,z'
loop_
_atom_site_label
_atom_site_fract_x
_atom_site_fract_y
_atom_site_fract_z
_atom_site_occupancy
As1 0.000 0.000 0.000 1
Ir1 0.500 0.500 0.500 1
F1 0.418 0.418 0.418 1
F2 0.582 0.582 0.582 1
# V (Å³ per atom): 13.48

*ii*
# AsIrF2, relaxed, DFT PBE
data_AsIrF2
_chemical_formula_sum 'As2 Ir2 F4'
_space_group_name_H-M_alt 'P 1'
_space_group_IT_number 1
_cell_length_a 5.984
_cell_length_b 5.984
_cell_length_c 5.984
_cell_angle_alpha 98.84
_cell_angle_beta 98.84
_cell_angle_gamma 133.83
loop_
_space_group_symop_operation_xyz
'x,y,z'
loop_
_atom_site_label
_atom_site_fract_x
_atom_site_fract_y
_atom_site_fract_z
_atom_site_occupancy
As1 0.000 0.000 0.000 1
As2 0.750 0.250 0.500 1
Ir1 0.250 0.750 0.500 1
Ir2 0.500 0.500 0.000 1
F1 0.265 0.625 0.140 1
F2 0.375 0.515 0.640 1
F3 0.485 0.125 0.860 1
F4 0.875 0.735 0.360 1
# V (Å³ per atom): 17.78

Which structure loses on stability? *ii* does.